[1]
A plane-wave DFT calculation with GGA-PBE was carried out for a geometry-optimized LaNd2Al2 structure.

Results
Crystal system ... tetragonal
Formation enthalpy at 0 K ... -0.266 eV per atom
DOS(E_F) ... 1.050 states/eV/atom
Excess energy over the best structure of this formula in the dataset ... 0 meV/atom

The structure in POSCAR format:
```
LaNd2Al2
1.0
-2.4609 3.0044 -2.4448
-6.7547 -3.7462 2.1954
-0.5585 4.7758 6.4311
Nd Al La
4 4 2
Direct
0.5000 0.8250 0.3250
0.5000 0.6750 0.8250
0.5000 0.3250 0.1750
0.5000 0.1750 0.6750
0.0000 0.3841 0.8841
0.0000 0.1159 0.3841
0.0000 0.8841 0.6159
0.0000 0.6159 0.1159
0.0000 0.5000 0.5000
0.0000 0.0000 0.0000
```

=====

[2]
A plane-wave DFT calculation with GGA-PBE was carried out for a geometry-optimized La8NdAl2 structure.

Results
Crystal system ... monoclinic
Formation enthalpy at 0 K ... -0.094 eV per atom
DOS(E_F) ... 1.431 states/eV/atom

The structure in POSCAR format:
```
La8NdAl2
1.0
-2.7417 4.5467 0.2473
-7.2220 -4.2863 -1.2627
3.3725 -1.5303 8.4082
La Nd Al
8 1 2
Direct
0.3845 0.5271 0.7691
0.8468 0.7759 0.6937
0.1532 0.2241 0.3063
0.3138 0.0522 0.6276
0.9491 0.2679 0.8983
0.6862 0.9478 0.3724
0.6155 0.4729 0.2309
0.0509 0.7321 0.1017
0.5000 0.0000 0.0000
0.2211 0.6501 0.4421
0.7789 0.3499 0.5579
```

=====

[3]
A plane-wave DFT calculation with GGA-PBE was carried out for a geometry-optimized La3Nd12Al structure.

Results
Crystal system ... tetragonal
Formation enthalpy at 0 K ... -0.012 eV per atom
DOS(E_F) ... 1.471 states/eV/atom

The structure in POSCAR format:
```
La3Nd12Al
1.0
-0.4997 4.7190 -1.9024
-0.5794 -1.9519 -4.6896
-20.6286 -0.9907 2.9611
Nd La Al
12 3 1
Direct
0.5000 0.0000 0.8853
0.0000 0.5000 0.6282
0.5000 0.5000 0.2417
0.0000 0.5000 0.8853
0.5000 0.5000 0.7583
0.5000 0.5000 0.5000
0.0000 0.5000 0.1147
0.0000 0.5000 0.3718
0.5000 0.5000 0.0000
0.5000 0.0000 0.6282
0.5000 0.0000 0.3718
0.5000 0.0000 0.1147
0.0000 0.0000 0.2449
0.0000 0.0000 0.7551
0.0000 0.0000 0.5000
0.0000 0.0000 0.0000
```

=====

[4]
A plane-wave DFT calculation with GGA-PBE was carried out for a geometry-optimized La7NdAl4 structure.

Results
Crystal system ... triclinic
Formation enthalpy at 0 K ... -0.194 eV per atom
DOS(E_F) ... 0.948 states/eV/atom
Excess energy over the best structure of this formula in the dataset ... 0 meV/atom

The structure in POSCAR format:
```
La7NdAl4
1.0
5.6081 -1.2098 2.3430
1.0154 6.4409 2.6179
1.9821 -1.2944 10.1934
La Al Nd
7 4 1
Direct
0.0705 0.2876 0.6055
0.7272 0.1943 0.4506
0.1800 0.4908 0.0919
0.9295 0.7124 0.3945
0.5000 0.0000 0.0000
0.2728 0.8057 0.5494
0.8200 0.5092 0.9081
0.4551 0.2054 0.2580
0.4513 0.4052 0.7444
0.5487 0.5948 0.2556
0.5449 0.7946 0.7420
0.0000 0.0000 0.0000
```

=====

[5]
A plane-wave DFT calculation with GGA-PBE was carried out for a geometry-optimized La2Nd8Al structure.

Results
Crystal system ... monoclinic
Formation enthalpy at 0 K ... -0.017 eV per atom
DOS(E_F) ... 1.319 states/eV/atom

The structure in POSCAR format:
```
La2Nd8Al
1.0
-1.3505 4.4113 -2.1370
-6.2718 0.5453 5.0889
7.6591 2.0397 5.4183
Nd La Al
8 2 1
Direct
0.5875 0.4338 0.1749
0.8651 0.8279 0.7303
0.0415 0.7350 0.0831
0.3261 0.0924 0.6521
0.1349 0.1721 0.2697
0.9585 0.2650 0.9169
0.4125 0.5662 0.8251
0.6739 0.9076 0.3479
0.7764 0.3669 0.5527
0.2236 0.6331 0.4473
0.5000 0.0000 0.0000
```

=====

[6]
A plane-wave DFT calculation with GGA-PBE was carried out for a geometry-optimized La5NdAl6 structure.

Results
Crystal system ... orthorhombic
Formation enthalpy at 0 K ... -0.355 eV per atom
DOS(E_F) ... 0.365 states/eV/atom

The structure in POSCAR format:
```
La5NdAl6
1.0
-1.5496 -0.4392 5.1117
-7.4336 2.7696 -4.8257
4.2820 -7.9414 -2.1945
Al La Nd
6 5 1
Direct
0.2443 0.4087 0.0799
0.7557 0.5913 0.9201
0.7389 0.2389 0.2389
0.2611 0.7611 0.7611
0.2443 0.0799 0.4087
0.7557 0.9201 0.5913
0.0000 0.3356 0.6644
0.5000 0.8290 0.1710
0.5000 0.5000 0.5000
0.0000 0.6644 0.3356
0.5000 0.1710 0.8290
0.0000 0.0000 0.0000
```

=====

[7]
A plane-wave DFT calculation with GGA-PBE was carried out for a geometry-optimized La5Nd12Al2 structure.

Results
Crystal system ... monoclinic
Formation enthalpy at 0 K ... 0.044 eV per atom
DOS(E_F) ... 1.398 states/eV/atom

The structure in POSCAR format:
```
La5Nd12Al2
1.0
8.1223 0.0000 0.0000
-4.0612 8.7019 3.0216
0.0000 -0.0638 9.1583
Nd La Al
12 5 2
Direct
0.5152 0.0304 0.3083
0.0528 0.1056 0.8333
0.9472 0.8944 0.1667
0.0670 0.7321 0.8669
0.6141 0.6942 0.4709
0.4848 0.9696 0.6917
0.0801 0.6942 0.4709
0.9330 0.2679 0.1331
0.3349 0.2679 0.1331
0.6651 0.7321 0.8669
0.9199 0.3058 0.5291
0.3859 0.3058 0.5291
0.6843 0.3686 0.8303
0.7480 0.4961 0.2251
0.3157 0.6314 0.1697
0.0000 0.0000 0.5000
0.2520 0.5039 0.7749
0.6618 0.0000 0.0000
0.3382 0.0000 0.0000
```

=====

[8]
A plane-wave DFT calculation with GGA-PBE was carried out for a geometry-optimized La15Nd4Al structure.

Results
Crystal system ... tetragonal
Formation enthalpy at 0 K ... -0.020 eV per atom
DOS(E_F) ... 1.514 states/eV/atom

The structure in POSCAR format:
```
La15Nd4Al
1.0
-2.9432 -4.2094 -0.7113
3.9984 -3.0208 1.3322
-7.5389 1.0465 25.0004
La Nd Al
15 4 1
Direct
0.5000 0.0000 0.9074
0.0000 0.5000 0.7044
0.0000 0.5000 0.9074
0.5000 0.5000 0.6014
0.0000 0.5000 0.2956
0.5000 0.0000 0.2956
0.0000 0.5000 0.5000
0.5000 0.5000 0.0000
0.5000 0.5000 0.8042
0.5000 0.0000 0.5000
0.5000 0.0000 0.7044
0.5000 0.5000 0.1958
0.0000 0.5000 0.0926
0.5000 0.0000 0.0926
0.5000 0.5000 0.3986
0.0000 0.0000 0.6012
0.0000 0.0000 0.1947
0.0000 0.0000 0.8053
0.0000 0.0000 0.3988
0.0000 0.0000 0.0000
```

=====

[9]
A plane-wave DFT calculation with GGA-PBE was carried out for a geometry-optimized LaNdAlNi structure.

Results
Crystal system ... cubic
Formation enthalpy at 0 K ... -0.188 eV per atom
DOS(E_F) ... 0.970 states/eV/atom

The structure in POSCAR format:
```
LaNdAlNi
1.0
-1.2190 -4.6847 -1.8901
3.0419 -2.2320 -3.5734
2.8794 -4.1390 1.2579
La Al Ni Nd
1 1 1 1
Direct
0.5000 0.5000 0.5000
0.7500 0.7500 0.7500
0.2500 0.2500 0.2500
0.0000 0.0000 0.0000
```

=====

[10]
A plane-wave DFT calculation with GGA-PBE was carried out for a geometry-optimized La2NdAlO structure.

Results
Formation energy without anion corrections ... -128.3 kJ per mole of atoms
Crystal system ... tetragonal
DOS(E_F) ... 0.415 states/eV/atom

The structure in POSCAR format:
```
La2NdAlO
1.0
4.9759 0.0000 0.0000
0.0000 5.0168 0.0000
0.0000 0.0000 5.0168
La Nd O Al
2 1 1 1
Direct
0.0000 0.0000 0.5000
0.0000 0.5000 0.0000
0.5000 0.0000 0.0000
0.0000 0.0000 0.0000
0.5000 0.5000 0.5000
```

=====

[11]
A plane-wave DFT calculation with GGA-PBE was carried out for a geometry-optimized LaNd2AlO structure.

Results
Formation energy without anion corrections ... -127.3 kJ per mole of atoms
Crystal system ... tetragonal
DOS(E_F) ... 0.342 states/eV/atom

The structure in POSCAR format:
```
LaNd2AlO
1.0
4.9896 0.0000 0.0000
0.0000 4.9590 0.0000
0.0000 0.0000 4.9590
O Al La Nd
1 1 1 2
Direct
0.0000 0.0000 0.0000
0.5000 0.5000 0.5000
0.5000 0.0000 0.0000
0.0000 0.0000 0.5000
0.0000 0.5000 0.0000
```

=====

[12]
A plane-wave DFT calculation with GGA-PBE was carried out for a geometry-optimized LaNdAlPb structure.

Results
Crystal system ... cubic
Formation enthalpy at 0 K ... -0.382 eV per atom
DOS(E_F) ... 0.569 states/eV/atom

The structure in POSCAR format:
```
LaNdAlPb
1.0
5.4998 0.0000 0.0000
2.7499 4.7630 0.0000
2.7499 1.5877 4.4906
Pb La Al Nd
1 1 1 1
Direct
0.2500 0.2500 0.2500
0.5000 0.5000 0.5000
0.7500 0.7500 0.7500
0.0000 0.0000 0.0000
```

=====

[13]
A plane-wave DFT calculation with GGA-PBE was carried out for a geometry-optimized LaNdAl2Pd5 structure.

Results
Crystal system ... tetragonal
Formation enthalpy at 0 K ... -0.805 eV per atom
DOS(E_F) ... 0.743 states/eV/atom

The structure in POSCAR format:
```
LaNdAl2Pd5
1.0
-1.7475 -2.6289 -3.0249
-2.8534 -1.5011 2.9530
-5.9064 6.6205 -2.3416
Pd La Nd Al
5 1 1 2
Direct
0.5000 0.5000 0.5000
0.0000 0.5000 0.2732
0.5000 0.0000 0.7268
0.5000 0.0000 0.2732
0.0000 0.5000 0.7268
0.0000 0.0000 0.5000
0.0000 0.0000 0.0000
0.5000 0.5000 0.8538
0.5000 0.5000 0.1462
```

=====

[14]
A plane-wave DFT calculation with GGA-PBE was carried out for a geometry-optimized La2Pr3Nd6Al structure.

Results
Crystal system ... monoclinic
Formation enthalpy at 0 K ... -0.017 eV per atom
DOS(E_F) ... 1.344 states/eV/atom

The structure in POSCAR format:
```
La2Pr3Nd6Al
1.0
6.2806 -0.0068 -0.0062
-3.1447 5.4367 -0.0062
-1.0548 -1.8263 11.8645
La Al Nd Pr
2 1 6 3
Direct
0.6656 0.3344 0.0000
0.3344 0.6656 0.0000
0.0000 0.0000 0.0000
0.7600 0.7600 0.2453
0.9198 0.5993 0.7567
0.0802 0.4007 0.2433
0.4007 0.0802 0.2433
0.2400 0.2400 0.7547
0.5993 0.9198 0.7567
0.8305 0.1695 0.5000
0.1695 0.8305 0.5000
0.5000 0.5000 0.5000
```

=====

[15]
A plane-wave DFT calculation with GGA-PBE was carried out for a geometry-optimized La2Pr6Nd3Al structure.

Results
Crystal system ... monoclinic
Formation enthalpy at 0 K ... -0.016 eV per atom
DOS(E_F) ... 1.323 states/eV/atom

The structure in POSCAR format:
```
La2Pr6Nd3Al
1.0
6.2979 -0.0078 -0.0116
-3.1542 5.4511 -0.0116
-1.0486 -1.8156 11.8943
Pr Nd La Al
6 3 2 1
Direct
0.0805 0.4008 0.2442
0.9195 0.5992 0.7558
0.2394 0.2394 0.7539
0.7606 0.7606 0.2461
0.5992 0.9195 0.7558
0.4008 0.0805 0.2442
0.8306 0.1694 0.5000
0.1694 0.8306 0.5000
0.5000 0.5000 0.5000
0.3342 0.6658 0.0000
0.6658 0.3342 0.0000
0.0000 0.0000 0.0000
```

=====

[16]
A plane-wave DFT calculation with GGA-PBE was carried out for a geometry-optimized LaPrNdAl structure.

Results
Crystal system ... cubic
Formation enthalpy at 0 K ... -0.030 eV per atom
DOS(E_F) ... 1.942 states/eV/atom
Excess energy over the best structure of this formula in the dataset ... 113 meV/atom

The structure in POSCAR format:
```
LaPrNdAl
1.0
5.5702 0.0000 0.0000
2.7851 4.8239 0.0000
2.7851 1.6080 4.5480
La Al Pr Nd
1 1 1 1
Direct
0.5000 0.5000 0.5000
0.2500 0.2500 0.2500
0.0000 0.0000 0.0000
0.7500 0.7500 0.7500
```

=====

[17]
A plane-wave DFT calculation with GGA-PBE was carried out for a geometry-optimized LaPrNdAl structure.

Results
Crystal system ... tetragonal
Formation enthalpy at 0 K ... -0.143 eV per atom
DOS(E_F) ... 1.239 states/eV/atom
Excess energy over the best structure of this formula in the dataset ... 0 meV/atom

The structure in POSCAR format:
```
LaPrNdAl
1.0
4.8627 0.0000 0.0000
0.0000 4.8627 0.0000
-2.4314 -2.4314 5.0667
Al La Nd Pr
1 1 1 1
Direct
0.2500 0.7500 0.5000
0.7500 0.2500 0.5000
0.0000 0.0000 0.0000
0.5000 0.5000 0.0000
```

=====

[18]
A plane-wave DFT calculation with GGA-PBE was carried out for a geometry-optimized LaNdAlSi structure.

Results
Formation energy without anion corrections ... -57.4 kJ per mole of atoms
Crystal system ... orthorhombic
DOS(E_F) ... 0.816 states/eV/atom

The structure in POSCAR format:
```
LaNdAlSi
1.0
4.5151 0.0000 0.0000
0.0000 4.1042 0.0000
-2.2576 0.0000 5.7380
Al Nd Si La
1 1 1 1
Direct
0.4357 0.0000 0.8715
0.1400 0.0000 0.2799
0.5699 0.5000 0.1399
0.8544 0.5000 0.7087
```

=====

[19]
A plane-wave DFT calculation with GGA-PBE was carried out for a geometry-optimized LaNd2AlSi2 structure.

Results
Formation energy without anion corrections ... 0.0 kJ per mole of atoms
Crystal system ... tetragonal
DOS(E_F) ... 1.037 states/eV/atom

The structure in POSCAR format:
```
LaNd2AlSi2
1.0
4.7798 0.0000 0.0000
0.0000 4.7798 0.0000
-2.3899 -2.3899 8.0906
La Al Si Nd
1 1 2 2
Direct
0.5000 0.5000 0.0000
0.0000 0.0000 0.0000
0.8579 0.8579 0.7159
0.1421 0.1421 0.2841
0.2500 0.7500 0.5000
0.7500 0.2500 0.5000
```

=====

[20]
A plane-wave DFT calculation with GGA-PBE was carried out for a geometry-optimized LaNdSmAl structure.

Results
Crystal system ... orthorhombic
Formation enthalpy at 0 K ... 0.148 eV per atom
DOS(E_F) ... 1.456 states/eV/atom
Excess energy over the best structure of this formula in the dataset ... 191 meV/atom

The structure in POSCAR format:
```
LaNdSmAl
1.0
3.4603 0.0000 0.0000
-1.7302 6.2287 0.0000
0.0000 0.0000 5.6797
Sm Nd La Al
1 1 1 1
Direct
0.9496 0.8993 0.0000
0.0655 0.1309 0.5000
0.7882 0.5765 0.5000
0.2090 0.4181 0.0000
```

=====

In the order shown, the computed total magnetization values come out to 0.000, 0.000, 0.000, 0.021, 0.000, 0.000, 0.000, 0.000, 0.000, 0.000, 0.000, 0.000, 0.000, 0.000, 0.000, 0.002, 0.000, 0.000, 0.000, 0.000 μB per atom.